(1)
AlTePt: optimized geometry, PBE.

## Properties
magnetization: 0.00 μB per cell
E_tot: -4.67 eV per atom
N(E_F): 2.12 states/eV/cell
space group: F-43m (216)
energy above the most stable polymorph in this dataset: 0.111 eV/atom
energy relative to the elements, uncorrected: -0.360 eV per atom

Cell and atoms, written as POSCAR:
```
AlTePt
1.0
-0.7251 -3.1766 -3.1214
3.4930 -2.1091 -1.9264
0.8257 -4.3319 0.9554
Te Pt Al
1 1 1
Cartesian
0.0000 0.0000 0.0000 Te
2.6952 -7.2131 -3.0693 Pt
1.7968 -4.8088 -2.0462 Al
```

(2)
AlTePt2: optimized geometry, PBE.

## Properties
magnetization: 0.00 μB per cell
E_tot: -5.00 eV per atom
N(E_F): 2.43 states/eV/cell
space group: P2/m (10)
energy above the most stable polymorph in this dataset: 0.190 eV/atom
energy relative to the elements, uncorrected: -0.257 eV per atom

Cell and atoms, written as POSCAR:
```
AlTePt2
1.0
3.9548 0.0000 0.0000
0.0000 3.8076 -0.0027
0.0000 1.3787 5.0439
Al Pt Te
1 2 1
Cartesian
1.9774 3.8897 3.7809 Al
0.0000 2.8862 2.6744 Pt
0.0000 4.8933 4.8874 Pt
1.9774 1.2966 1.2603 Te
```

Table of volume (Å³/f.u.), in record order: 65.0, 76.0